(1)
Entry from Alexandria via LeMat-Bulk: a relaxed structure of Zr2Al2Bi (PBE-GGA).

abc: 7.5718 7.5718 3.9979
angles: 90.00 90.00 90.00
Closest atoms and distances in Å follow each position.
Space group P4/mbm (No. 127)
Unique sites:
Zr 0.1640 0.3360 0.0000  2 Bi 2.83, 6 Al 2.99-3.00
Al 0.1273 0.6273 0.5000  1 Al 2.73, 6 Zr 2.99-3.00
Bi 0.0000 0.0000 0.0000  4 Zr 2.83

## Properties
Excess energy over the best structure of this formula in the dataset = 45 meV per atom
Total magnetization = 0.0 μB per formula unit
VASP energy = -5.853 eV/atom
Energy of formation = -0.8 eV per formula unit

---

(2)
Entry from Alexandria via LeMat-Bulk: a relaxed structure of DyAlCo2 (PBE-GGA).

abc: 4.3008 4.3008 3.2373
angles: 90.00 90.00 90.00
Closest atoms and distances in Å follow each position.
Space group P4/mmm (No. 123)
Unique sites:
Dy 0.0000 0.0000 0.0000  8 Co 2.69
Al 0.5000 0.5000 0.0000  8 Co 2.69
Co 0.0000 0.5000 0.5000  4 Dy 2.69, 4 Al 2.69

## Properties
Total magnetization = 0.0 μB per formula unit
VASP energy = -5.860 eV/atom
Energy of formation = -0.9 eV per formula unit

---

(3)
Entry from Alexandria via LeMat-Bulk: a relaxed structure of CsLaSe2 (PBE-GGA).

abc: 8.8076 8.8076 8.1170
angles: 90.00 90.00 90.00
Closest atoms and distances in Å follow each position.
Space group I4/mcm (No. 140)
Unique sites:
Cs 0.0000 0.0000 0.2500  8 Se 3.86, 2 Cs 4.06
La 0.0000 0.5000 0.2500  4 Se 2.91
Se 0.1673 0.3327 0.0000  2 La 2.91

## Properties
ΔE_f (raw) = -1.572 eV/atom
Total magnetization = 0.0 μB per formula unit
VASP energy = -4.759 eV/atom

---

(4)
Entry from Alexandria via LeMat-Bulk: a relaxed structure of MnGaCoSe2 (PBE-GGA).

abc: 4.9739 3.8711 5.0364
angles: 90.00 117.92 90.00
Closest atoms and distances in Å follow each position.
Space group Pm (No. 6)
Unique sites:
Mn 0.0000 0.0000 0.0000  4 Se 2.48-2.51, 2 Co 2.57-2.59, 2 Ga 2.59
Ga 0.1673 0.5000 0.3876  2 Co 2.44, 1 Se 2.53, 2 Mn 2.59
Co 0.5023 0.0000 0.5013  4 Se 2.42-2.52, 2 Ga 2.44, 2 Mn 2.57-2.59
Se 0.5009 0.0000 0.9998  2 Mn 2.48-2.49, 2 Co 2.51-2.52
Se 0.8320 0.5000 0.6417  2 Co 2.42, 2 Mn 2.51, 1 Ga 2.53

## Properties
ΔE_f (raw) = -0.201 eV/atom
Excess energy over the best structure of this formula in the dataset = 0 meV per atom
Total magnetization = 3.2 μB per formula unit
VASP energy = -5.455 eV/atom

---

(5)
Entry from Alexandria via LeMat-Bulk: a relaxed structure of LaErSn2 (PBE-GGA).

abc: 8.9546 4.3335 12.5190
angles: 90.00 90.00 90.00
Closest atoms and distances in Å follow each position.
Space group Pnma (No. 62)
Unique sites:
La 0.1375 0.2500 0.1468  7 Sn 3.35-3.65
Er 0.0155 0.7500 0.3948  5 Sn 2.94-3.18
Sn 0.1515 0.2500 0.8076  2 Er 2.94-3.18, 2 Sn 2.98
Sn 0.2437 0.7500 0.9569  2 Sn 2.98, 3 Er 3.06-3.15

## Properties
Total magnetization = 0.0 μB per formula unit
VASP energy = -5.006 eV/atom
Energy of formation = -2.5 eV per formula unit

---

(6)
Entry from Alexandria via LeMat-Bulk: a relaxed structure of ScHgMo2 (PBE-GGA).

abc: 3.9497 3.9497 4.5850
angles: 90.00 90.00 90.00
Closest atoms and distances in Å follow each position.
Space group P4/mmm (No. 123)
Unique sites:
Sc 0.0000 0.0000 0.0000  4 Hg 2.79, 8 Mo 3.03
Hg 0.5000 0.5000 0.0000  4 Sc 2.79, 8 Mo 3.03
Mo 0.0000 0.5000 0.5000  4 Mo 2.79, 4 Hg 3.03, 4 Sc 3.03

## Properties
Total magnetization = 0.0 μB per formula unit
VASP energy = -6.869 eV/atom
Energy of formation = 0.8 eV per formula unit